*one*
Density functional theory data (GGA-PBE) for crystalline MoIrRh4 at its relaxed geometry.

For the spin magnetization, the calculation gives 0.0 μB per formula unit.

a = 4.3278 Å, b = 7.3374 Å, c = 6.4940 Å
α = 90.00°, β = 109.46°, γ = 90.00°
With the nearest neighbours (Å) after each atom.
Fractional positions:
Rh (0.0000, 0.5000, 0.0000)  2 Ir 2.66, 4 Rh 2.90
Rh (0.5504, 0.7500, 0.1008)  1 Mo 2.34, 2 Ir 2.53
Rh (0.7586, 0.9170, 0.5173)  3 Rh 2.45-2.49, 1 Ir 2.65
Rh (0.4496, 0.2500, 0.8992)  1 Mo 2.34, 2 Ir 2.53
Rh (0.7586, 0.5830, 0.5173)  3 Rh 2.45-2.49, 1 Ir 2.65
Rh (0.2414, 0.4170, 0.4827)  3 Rh 2.45-2.49, 1 Ir 2.65
Rh (0.0000, 0.0000, 0.0000)  2 Ir 2.66, 4 Rh 2.90
Rh (0.2414, 0.0830, 0.4827)  3 Rh 2.45-2.49, 1 Ir 2.65
Mo (0.3595, 0.7500, 0.7191)  1 Rh 2.34, 1 Ir 2.48
Mo (0.6405, 0.2500, 0.2809)  1 Rh 2.34, 1 Ir 2.48
Ir (0.8431, 0.2500, 0.6863)  1 Mo 2.48, 6 Rh 2.53-2.66
Ir (0.1569, 0.7500, 0.3137)  1 Mo 2.48, 6 Rh 2.53-2.66

=====

*two*
Density functional theory data (GGA-PBE) for crystalline MoIrRh4 at its relaxed geometry.

For the spin magnetization, the calculation gives 0.0 μB per formula unit.

a = 5.0357 Å, b = 5.0357 Å, c = 5.0357 Å
α = 60.00°, β = 60.00°, γ = 60.00°
With the nearest neighbours (Å) after each atom.
Fractional positions:
Mo (0.0000, 0.0000, 0.0000)  12 Rh 2.95, 4 Ir 3.08
Rh (0.8740, 0.3754, 0.3754)  6 Rh 2.51-2.52
Rh (0.3754, 0.8740, 0.3754)  6 Rh 2.51-2.52
Rh (0.3754, 0.3754, 0.8740)  6 Rh 2.51-2.52
Rh (0.3754, 0.3754, 0.3754)  6 Rh 2.51-2.52
Ir (0.7500, 0.7500, 0.7500)  12 Rh 2.95, 4 Mo 3.08

=====

Q: Which of them is the least stable? A: *one*.

=====

*one*
Density functional theory data (GGA-PBE) for crystalline MoIr3Rh2 at its relaxed geometry.

For the spin magnetization, the calculation gives 0.0 μB per formula unit.

a = 4.9178 Å, b = 5.4527 Å, c = 7.2661 Å
α = 112.04°, β = 90.00°, γ = 90.00°
With the nearest neighbours (Å) after each atom.
Fractional positions:
Ir (0.2500, 0.0690, 0.6379)  5 Ir 2.64-2.84, 3 Mo 2.67-2.84, 2 Rh 2.73
Ir (0.2500, 0.1507, 0.3015)  6 Ir 2.64-2.84, 2 Mo 2.73, 4 Rh 2.74
Ir (0.7500, 0.9310, 0.3621)  5 Ir 2.64-2.84, 3 Mo 2.67-2.84, 2 Rh 2.73
Ir (0.7500, 0.4312, 0.3621)  5 Ir 2.64-2.84, 3 Mo 2.67-2.84, 2 Rh 2.73
Ir (0.2500, 0.5688, 0.6379)  5 Ir 2.64-2.84, 3 Mo 2.67-2.84, 2 Rh 2.73
Ir (0.7500, 0.8493, 0.6985)  6 Ir 2.64-2.84, 2 Mo 2.73, 4 Rh 2.74
Mo (0.2500, 0.6488, 0.2977)  8 Ir 2.67-2.84, 4 Rh 2.71
Mo (0.7500, 0.3512, 0.7023)  8 Ir 2.67-2.84, 4 Rh 2.71
Rh (0.5000, 0.2523, 0.0000)  4 Rh 2.46-2.75, 2 Mo 2.71, 4 Ir 2.73-2.74
Rh (0.5000, 0.7477, 0.0000)  4 Rh 2.46-2.75, 2 Mo 2.71, 4 Ir 2.73-2.74
Rh (0.0000, 0.7477, 0.0000)  4 Rh 2.46-2.75, 2 Mo 2.71, 4 Ir 2.73-2.74
Rh (0.0000, 0.2523, 0.0000)  4 Rh 2.46-2.75, 2 Mo 2.71, 4 Ir 2.73-2.74

=====

*two*
Density functional theory data (GGA-PBE) for crystalline MoIr3Rh2 at its relaxed geometry.

For the spin magnetization, the calculation gives 0.0 μB per formula unit.

a = 3.8781 Å, b = 5.4593 Å, c = 8.2545 Å
α = 89.77°, β = 90.00°, γ = 90.00°
With the nearest neighbours (Å) after each atom.
Fractional positions:
Rh (0.7500, 0.1260, 0.9177)  7 Ir 2.71-2.77, 2 Rh 2.74, 3 Mo 2.77-2.78
Rh (0.2500, 0.8740, 0.0823)  7 Ir 2.71-2.77, 2 Rh 2.74, 3 Mo 2.77-2.78
Rh (0.7500, 0.6290, 0.5898)  8 Ir 2.66-2.83, 2 Mo 2.68, 2 Rh 2.82
Rh (0.2500, 0.3710, 0.4102)  8 Ir 2.66-2.83, 2 Mo 2.68, 2 Rh 2.82
Mo (0.7500, 0.1303, 0.2536)  5 Rh 2.68-2.78, 7 Ir 2.71-2.75
Mo (0.2500, 0.8697, 0.7464)  5 Rh 2.68-2.78, 7 Ir 2.71-2.75
Ir (0.2500, 0.3701, 0.0877)  5 Rh 2.66-2.75, 2 Mo 2.71, 5 Ir 2.73-2.80
Ir (0.2500, 0.3740, 0.7529)  2 Mo 2.71-2.75, 5 Rh 2.73-2.83, 5 Ir 2.73-2.76
Ir (0.7500, 0.6260, 0.2471)  2 Mo 2.71-2.75, 5 Rh 2.73-2.83, 5 Ir 2.73-2.76
Ir (0.7500, 0.6299, 0.9123)  5 Rh 2.66-2.75, 2 Mo 2.71, 5 Ir 2.73-2.80
Ir (0.2500, 0.8745, 0.4181)  3 Mo 2.71-2.75, 5 Rh 2.71-2.77, 4 Ir 2.74-2.76
Ir (0.7500, 0.1255, 0.5819)  3 Mo 2.71-2.75, 5 Rh 2.71-2.77, 4 Ir 2.74-2.76

=====

Q: Which of them is the least stable? A: *one*.

=====

*one*
Density functional theory data (GGA-PBE) for crystalline MoIr3Rh3 at its relaxed geometry.

For the spin magnetization, the calculation gives 0.0 μB per formula unit.

a = 7.5810 Å, b = 7.5810 Å, c = 7.5810 Å
α = 90.00°, β = 90.00°, γ = 90.00°
With the nearest neighbours (Å) after each atom.
Fractional positions:
Rh (0.6546, 0.3454, 0.8454)  6 Ir 2.60-2.63, 1 Mo 2.80, 4 Rh 2.83-2.92
Rh (0.8019, 0.3019, 0.1981)  6 Ir 2.60-2.73
Rh (0.8454, 0.6546, 0.3454)  6 Ir 2.60-2.63, 1 Mo 2.80, 4 Rh 2.83-2.92
Rh (0.0607, 0.4393, 0.5607)  6 Ir 2.74-2.91, 3 Mo 2.80, 1 Rh 2.83
Rh (0.5607, 0.0607, 0.4393)  6 Ir 2.74-2.91, 3 Mo 2.80, 1 Rh 2.83
Rh (0.1981, 0.8019, 0.3019)  6 Ir 2.60-2.73
Rh (0.1546, 0.1546, 0.1546)  6 Ir 2.60-2.63, 1 Mo 2.80, 4 Rh 2.83-2.92
Rh (0.9393, 0.9393, 0.9393)  6 Ir 2.74-2.91, 3 Mo 2.80, 1 Rh 2.83
Rh (0.3454, 0.8454, 0.6546)  6 Ir 2.60-2.63, 1 Mo 2.80, 4 Rh 2.83-2.92
Rh (0.6981, 0.6981, 0.6981)  6 Ir 2.60-2.73
Rh (0.3019, 0.1981, 0.8019)  6 Ir 2.60-2.73
Rh (0.4393, 0.5607, 0.0607)  6 Ir 2.74-2.91, 3 Mo 2.80, 1 Rh 2.83
Mo (0.6320, 0.8680, 0.1320)  6 Ir 2.61-2.62, 4 Rh 2.80
Mo (0.8680, 0.1320, 0.6320)  6 Ir 2.61-2.62, 4 Rh 2.80
Mo (0.3680, 0.3680, 0.3680)  6 Ir 2.61-2.62, 4 Rh 2.80
Mo (0.1320, 0.6320, 0.8680)  6 Ir 2.61-2.62, 4 Rh 2.80
Ir (0.4935, 0.1836, 0.1061)  6 Rh 2.60-2.91, 2 Mo 2.61-2.62, 2 Ir 2.71
Ir (0.1836, 0.1061, 0.4935)  6 Rh 2.60-2.91, 2 Mo 2.61-2.62, 2 Ir 2.71
Ir (0.6836, 0.3939, 0.5065)  6 Rh 2.60-2.91, 2 Mo 2.61-2.62, 2 Ir 2.71
Ir (0.6061, 0.0065, 0.8164)  6 Rh 2.60-2.91, 2 Mo 2.61-2.62, 2 Ir 2.71
Ir (0.5065, 0.6836, 0.3939)  6 Rh 2.60-2.91, 2 Mo 2.61-2.62, 2 Ir 2.71
Ir (0.8164, 0.6061, 0.0065)  6 Rh 2.60-2.91, 2 Mo 2.61-2.62, 2 Ir 2.71
Ir (0.3164, 0.8939, 0.9935)  6 Rh 2.60-2.91, 2 Mo 2.61-2.62, 2 Ir 2.71
Ir (0.0065, 0.8164, 0.6061)  6 Rh 2.60-2.91, 2 Mo 2.61-2.62, 2 Ir 2.71
Ir (0.3939, 0.5065, 0.6836)  6 Rh 2.60-2.91, 2 Mo 2.61-2.62, 2 Ir 2.71
Ir (0.1061, 0.4935, 0.1836)  6 Rh 2.60-2.91, 2 Mo 2.61-2.62, 2 Ir 2.71
Ir (0.8939, 0.9935, 0.3164)  6 Rh 2.60-2.91, 2 Mo 2.61-2.62, 2 Ir 2.71
Ir (0.9935, 0.3164, 0.8939)  6 Rh 2.60-2.91, 2 Mo 2.61-2.62, 2 Ir 2.71

=====

*two*
Density functional theory data (GGA-PBE) for crystalline MoIr3Rh3 at its relaxed geometry.

For the spin magnetization, the calculation gives 0.0 μB per formula unit.

a = 2.6947 Å, b = 11.3909 Å, c = 11.3909 Å
α = 120.00°, β = 90.00°, γ = 90.00°
With the nearest neighbours (Å) after each atom.
Fractional positions:
Ir (0.7500, 0.1609, 0.7304)  1 Mo 2.41, 3 Rh 2.50-2.58, 2 Ir 2.69
Ir (0.2500, 0.4305, 0.1609)  1 Mo 2.41, 3 Rh 2.50-2.58, 2 Ir 2.69
Ir (0.2500, 0.7304, 0.5695)  1 Mo 2.41, 3 Rh 2.50-2.58, 2 Ir 2.69
Ir (0.7500, 0.5695, 0.8391)  1 Mo 2.41, 3 Rh 2.50-2.58, 2 Ir 2.69
Ir (0.2500, 0.8391, 0.2696)  1 Mo 2.41, 3 Rh 2.50-2.58, 2 Ir 2.69
Ir (0.7500, 0.2696, 0.4305)  1 Mo 2.41, 3 Rh 2.50-2.58, 2 Ir 2.69
Rh (0.2500, 0.9479, 0.5654)  3 Ir 2.50-2.58, 4 Rh 2.69
Rh (0.7500, 0.5654, 0.6175)  3 Ir 2.50-2.58, 4 Rh 2.69
Rh (0.7500, 0.0521, 0.4346)  3 Ir 2.50-2.58, 4 Rh 2.69
Rh (0.7500, 0.3825, 0.9479)  3 Ir 2.50-2.58, 4 Rh 2.69
Rh (0.2500, 0.4346, 0.3825)  3 Ir 2.50-2.58, 4 Rh 2.69
Rh (0.2500, 0.6175, 0.0521)  3 Ir 2.50-2.58, 4 Rh 2.69
Mo (0.7500, 0.3333, 0.6667)  3 Ir 2.41, 2 Mo 2.69
Mo (0.2500, 0.6667, 0.3333)  3 Ir 2.41, 2 Mo 2.69

=====

Q: Which of them is the least stable? A: *two*.

=====

*one*
Density functional theory data (GGA-PBE) for crystalline MoIrRu3 at its relaxed geometry.

For the spin magnetization, the calculation gives 2.3 μB per formula unit.

a = 5.2498 Å, b = 5.2498 Å, c = 5.1119 Å
α = 59.10°, β = 59.10°, γ = 60.00°
With the nearest neighbours (Å) after each atom.
Fractional positions:
Ru (0.9750, 0.9750, 0.5750)  2 Ir 2.56, 4 Ru 2.62, 2 Mo 2.62
Ru (0.9750, 0.4750, 0.5750)  2 Ir 2.56, 4 Ru 2.62, 2 Mo 2.62
Ru (0.4750, 0.9750, 0.5750)  2 Ir 2.56, 4 Ru 2.62, 2 Mo 2.62
Mo (0.4750, 0.4750, 0.5750)  6 Ru 2.62
Ir (0.9750, 0.9750, 0.0750)  6 Ru 2.56

=====

*two*
Density functional theory data (GGA-PBE) for crystalline MoIrRu3 at its relaxed geometry.

For the spin magnetization, the calculation gives 2.5 μB per formula unit.

a = 4.5706 Å, b = 4.5706 Å, c = 4.5706 Å
α = 90.00°, β = 90.00°, γ = 90.00°
With the nearest neighbours (Å) after each atom.
Fractional positions:
Mo (0.0000, 0.0000, 0.0000)  6 Ru 2.29
Ru (0.0000, 0.0000, 0.5000)  2 Mo 2.29
Ru (0.5000, 0.0000, 0.0000)  2 Mo 2.29
Ru (0.0000, 0.5000, 0.0000)  2 Mo 2.29
Ir (0.5000, 0.5000, 0.5000)  12 Ru 3.23

=====

*three*
Density functional theory data (GGA-PBE) for crystalline MoIrRu3 at its relaxed geometry.

For the spin magnetization, the calculation gives 2.3 μB per formula unit.

a = 4.6488 Å, b = 4.6488 Å, c = 4.6488 Å
α = 90.00°, β = 90.00°, γ = 90.00°
With the nearest neighbours (Å) after each atom.
Fractional positions:
Ru (0.0000, 0.0000, 0.5000)  2 Ir 2.32
Ru (0.5000, 0.0000, 0.0000)  2 Ir 2.32
Ru (0.0000, 0.5000, 0.0000)  2 Ir 2.32
Ir (0.0000, 0.0000, 0.0000)  6 Ru 2.32
Mo (0.5000, 0.5000, 0.5000)  12 Ru 3.29

=====

Q: Which of them is the least stable? A: *three*.